Computed, not measured: a relaxed structure of LiSe2NO at the PBE level of DFT.

Cell: 4.3840 4.3840 3.8741 Å, 90.00 90.00 90.00°
Closest atoms and distances in Å follow each position.
Atoms (fractional coordinates):
1 Li 0.0000 0.0000 0.0000  8 Se 2.93, 4 N 3.10
2 Se 0.0000 0.5000 0.5000  2 O 2.19
3 Se 0.5000 0.0000 0.5000  2 O 2.19
4 N 0.5000 0.5000 0.0000  2 O 1.94
5 O 0.5000 0.5000 0.5000  2 N 1.94

Results
As for the crystal system: tetragonal. The energy above the most stable polymorph in this dataset comes out at 0.0000 eV per atom. Its raw formation energy is 0.9268 eV/atom. As for the total magnetization: 0.263 μB/f.u. As for the space group: No. 123. Its total DFT energy (no corrections) is -17.532 eV per cell.